Record 1
Entry from Alexandria: CsYPb after structural relaxation (GGA-PBE).

## Properties
energy relative to the elements: -0.161 eV/atom

```
data_CsYPb
_chemical_formula_sum 'Cs4 Y4 Pb4'
_cell_length_a 9.867
_cell_length_b 5.552
_cell_length_c 8.771
_cell_angle_alpha 90.00
_cell_angle_beta 90.00
_cell_angle_gamma 90.00
_symmetry_space_group_name_H-M 'P n m a'
_symmetry_Int_Tables_number 62
_symmetry_space_group_name_Hall '-P 2ac 2n'
loop_
_atom_site_label
_atom_site_type_symbol
_atom_site_fract_x
_atom_site_fract_y
_atom_site_fract_z
Cs1 Cs 0.008 0.250 0.142
Y1 Y 0.137 0.750 0.428
Pb1 Pb 0.178 0.250 0.621
```

---

Record 2
Entry from Alexandria: CsYPb after structural relaxation (GGA-PBE).

## Properties
energy relative to the elements: 0.041 eV/atom

```
data_CsYPb
_chemical_formula_sum 'Cs4 Y4 Pb4'
_cell_length_a 9.018
_cell_length_b 5.374
_cell_length_c 13.136
_cell_angle_alpha 90.00
_cell_angle_beta 90.00
_cell_angle_gamma 90.00
_symmetry_space_group_name_H-M 'P n m a'
_symmetry_Int_Tables_number 62
_symmetry_space_group_name_Hall '-P 2ac 2n'
loop_
_atom_site_label
_atom_site_type_symbol
_atom_site_fract_x
_atom_site_fract_y
_atom_site_fract_z
Cs1 Cs 0.118 0.250 0.114
Y1 Y 0.021 0.750 0.402
Pb1 Pb 0.187 0.250 0.410
```

---

Record 3
Entry from Alexandria: CsYPb after structural relaxation (GGA-PBE).

## Properties
energy relative to the elements: -0.302 eV/atom

```
data_CsYPb
_chemical_formula_sum 'Cs4 Y4 Pb4'
_cell_length_a 7.844
_cell_length_b 7.843
_cell_length_c 8.826
_cell_angle_alpha 90.00
_cell_angle_beta 90.06
_cell_angle_gamma 90.00
_symmetry_space_group_name_H-M 'C 1 2/m 1'
_symmetry_Int_Tables_number 12
_symmetry_space_group_name_Hall '-C 2y'
loop_
_atom_site_label
_atom_site_type_symbol
_atom_site_fract_x
_atom_site_fract_y
_atom_site_fract_z
Cs1 Cs 0.250 0.000 0.129
Y1 Y 0.000 0.250 0.500
Pb1 Pb 0.250 0.000 0.671
```

---

Record 4
Entry from Alexandria: CsYPb3 after structural relaxation (GGA-PBE).

## Properties
energy relative to the elements: 1.172 eV/atom

```
data_CsYPb3
_chemical_formula_sum 'Cs1 Y1 Pb3'
_cell_length_a 6.084
_cell_length_b 6.084
_cell_length_c 6.084
_cell_angle_alpha 90.00
_cell_angle_beta 90.00
_cell_angle_gamma 90.00
_symmetry_space_group_name_H-M 'P m -3 m'
_symmetry_Int_Tables_number 221
_symmetry_space_group_name_Hall '-P 4 2 3'
loop_
_atom_site_label
_atom_site_type_symbol
_atom_site_fract_x
_atom_site_fract_y
_atom_site_fract_z
Cs1 Cs 0.000 0.000 0.000
Y1 Y 0.500 0.500 0.500
Pb1 Pb 0.000 0.000 0.500
```

---

Record 5
Entry from Alexandria: CsZn3Pb after structural relaxation (GGA-PBE).

## Properties
energy relative to the elements: 0.277 eV/atom

```
data_CsZn3Pb
_chemical_formula_sum 'Cs1 Zn3 Pb1'
_cell_length_a 5.734
_cell_length_b 5.734
_cell_length_c 5.734
_cell_angle_alpha 90.00
_cell_angle_beta 90.00
_cell_angle_gamma 90.00
_symmetry_space_group_name_H-M 'P m -3 m'
_symmetry_Int_Tables_number 221
_symmetry_space_group_name_Hall '-P 4 2 3'
loop_
_atom_site_label
_atom_site_type_symbol
_atom_site_fract_x
_atom_site_fract_y
_atom_site_fract_z
Cs1 Cs 0.000 0.000 0.000
Zn1 Zn 0.000 0.500 0.500
Pb1 Pb 0.500 0.500 0.500
```

---

Record 6
Entry from Alexandria: Cs2Zn2Pb after structural relaxation (GGA-PBE).

## Properties
energy relative to the elements: 0.358 eV/atom

```
data_Cs2Zn2Pb
_chemical_formula_sum 'Cs4 Zn4 Pb2'
_cell_length_a 5.358
_cell_length_b 5.358
_cell_length_c 14.248
_cell_angle_alpha 90.00
_cell_angle_beta 90.00
_cell_angle_gamma 90.00
_symmetry_space_group_name_H-M 'I 4/m m m'
_symmetry_Int_Tables_number 139
_symmetry_space_group_name_Hall '-I 4 2'
loop_
_atom_site_label
_atom_site_type_symbol
_atom_site_fract_x
_atom_site_fract_y
_atom_site_fract_z
Cs1 Cs 0.000 0.500 0.250
Zn1 Zn 0.000 0.000 0.085
Pb1 Pb 0.000 0.000 0.500
```

---

Record 7
Entry from Alexandria: Cs2Zn2Pb after structural relaxation (GGA-PBE).

## Properties
energy relative to the elements: 0.144 eV/atom

```
data_Cs2Zn2Pb
_chemical_formula_sum 'Cs4 Zn4 Pb2'
_cell_length_a 3.810
_cell_length_b 3.810
_cell_length_c 25.669
_cell_angle_alpha 90.00
_cell_angle_beta 90.00
_cell_angle_gamma 90.00
_symmetry_space_group_name_H-M 'I 4/m m m'
_symmetry_Int_Tables_number 139
_symmetry_space_group_name_Hall '-I 4 2'
loop_
_atom_site_label
_atom_site_type_symbol
_atom_site_fract_x
_atom_site_fract_y
_atom_site_fract_z
Cs1 Cs 0.000 0.000 0.115
Zn1 Zn 0.000 0.500 0.250
Pb1 Pb 0.000 0.000 0.500
```

---

Record 8
Entry from Alexandria: Cs3Zn2Pb4 after structural relaxation (GGA-PBE).

## Properties
energy relative to the elements: -0.083 eV/atom

```
data_Cs3Zn2Pb4
_chemical_formula_sum 'Cs6 Zn4 Pb8'
_cell_length_a 15.120
_cell_length_b 4.604
_cell_length_c 11.219
_cell_angle_alpha 90.00
_cell_angle_beta 101.97
_cell_angle_gamma 90.00
_symmetry_space_group_name_H-M 'C 1 2/m 1'
_symmetry_Int_Tables_number 12
_symmetry_space_group_name_Hall '-C 2y'
loop_
_atom_site_label
_atom_site_type_symbol
_atom_site_fract_x
_atom_site_fract_y
_atom_site_fract_z
Cs1 Cs 0.000 0.000 0.000
Cs2 Cs 0.117 0.500 0.393
Zn1 Zn 0.164 0.500 0.821
Pb1 Pb 0.113 0.000 0.686
Pb2 Pb 0.214 0.500 0.092
```

---

Record 9
Entry from Alexandria: Cs2ZnPb2 after structural relaxation (GGA-PBE).

## Properties
energy relative to the elements: 0.126 eV/atom

```
data_Cs2ZnPb2
_chemical_formula_sum 'Cs4 Zn2 Pb4'
_cell_length_a 4.554
_cell_length_b 4.554
_cell_length_c 23.202
_cell_angle_alpha 90.00
_cell_angle_beta 90.00
_cell_angle_gamma 90.00
_symmetry_space_group_name_H-M 'I 4/m m m'
_symmetry_Int_Tables_number 139
_symmetry_space_group_name_Hall '-I 4 2'
loop_
_atom_site_label
_atom_site_type_symbol
_atom_site_fract_x
_atom_site_fract_y
_atom_site_fract_z
Cs1 Cs 0.000 0.000 0.102
Zn1 Zn 0.000 0.000 0.500
Pb1 Pb 0.000 0.500 0.250
```

---

Record 10
Entry from Alexandria: Cs2ZnPb2 after structural relaxation (GGA-PBE).

## Properties
energy relative to the elements: 0.160 eV/atom

```
data_Cs2ZnPb2
_chemical_formula_sum 'Cs4 Zn2 Pb4'
_cell_length_a 11.440
_cell_length_b 11.440
_cell_length_c 3.764
_cell_angle_alpha 90.00
_cell_angle_beta 90.00
_cell_angle_gamma 90.00
_symmetry_space_group_name_H-M 'P 4/m b m'
_symmetry_Int_Tables_number 127
_symmetry_space_group_name_Hall '-P 4 2ab'
loop_
_atom_site_label
_atom_site_type_symbol
_atom_site_fract_x
_atom_site_fract_y
_atom_site_fract_z
Cs1 Cs 0.203 0.297 0.000
Zn1 Zn 0.000 0.000 0.500
Pb1 Pb 0.091 0.591 0.500
```

---

Record 11
Entry from Alexandria: Cs2ZnPb after structural relaxation (GGA-PBE).

## Properties
energy relative to the elements: -0.063 eV/atom

```
data_Cs2ZnPb
_chemical_formula_sum 'Cs4 Zn2 Pb2'
_cell_length_a 5.017
_cell_length_b 11.594
_cell_length_c 7.041
_cell_angle_alpha 90.00
_cell_angle_beta 90.00
_cell_angle_gamma 90.00
_symmetry_space_group_name_H-M 'I m m 2'
_symmetry_Int_Tables_number 44
_symmetry_space_group_name_Hall 'I 2 -2'
loop_
_atom_site_label
_atom_site_type_symbol
_atom_site_fract_x
_atom_site_fract_y
_atom_site_fract_z
Cs1 Cs 0.000 0.187 0.000
Zn1 Zn 0.000 0.500 0.137
Pb1 Pb 0.000 0.000 0.495
```

---

Record 12
Entry from Alexandria: Cs2ZnPb2 after structural relaxation (GGA-PBE).

## Properties
energy relative to the elements: -0.055 eV/atom

```
data_Cs2ZnPb2
_chemical_formula_sum 'Cs8 Zn4 Pb8'
_cell_length_a 12.655
_cell_length_b 7.752
_cell_length_c 9.467
_cell_angle_alpha 90.00
_cell_angle_beta 96.42
_cell_angle_gamma 90.00
_symmetry_space_group_name_H-M 'C 1 2/c 1'
_symmetry_Int_Tables_number 15
_symmetry_space_group_name_Hall '-C 2yc'
loop_
_atom_site_label
_atom_site_type_symbol
_atom_site_fract_x
_atom_site_fract_y
_atom_site_fract_z
Cs1 Cs 0.167 0.094 0.175
Zn1 Zn 0.000 0.426 0.750
Pb1 Pb 0.092 0.367 0.505
```

---

Record 13
Entry from Alexandria: Cs2ZnPb2 after structural relaxation (GGA-PBE).

## Properties
energy relative to the elements: 0.136 eV/atom

```
data_Cs2ZnPb2
_chemical_formula_sum 'Cs4 Zn2 Pb4'
_cell_length_a 7.825
_cell_length_b 7.825
_cell_length_c 8.586
_cell_angle_alpha 90.00
_cell_angle_beta 90.00
_cell_angle_gamma 90.00
_symmetry_space_group_name_H-M 'I 4/m m m'
_symmetry_Int_Tables_number 139
_symmetry_space_group_name_Hall '-I 4 2'
loop_
_atom_site_label
_atom_site_type_symbol
_atom_site_fract_x
_atom_site_fract_y
_atom_site_fract_z
Cs1 Cs 0.000 0.500 0.250
Zn1 Zn 0.000 0.000 0.000
Pb1 Pb 0.000 0.000 0.332
```

---

Record 14
Entry from Alexandria: Cs2Zn2Pb after structural relaxation (GGA-PBE).

## Properties
energy relative to the elements: 0.092 eV/atom

```
data_Cs2Zn2Pb
_chemical_formula_sum 'Cs4 Zn4 Pb2'
_cell_length_a 7.777
_cell_length_b 7.777
_cell_length_c 6.162
_cell_angle_alpha 90.00
_cell_angle_beta 90.00
_cell_angle_gamma 90.00
_symmetry_space_group_name_H-M 'P 4/m b m'
_symmetry_Int_Tables_number 127
_symmetry_space_group_name_Hall '-P 4 2ab'
loop_
_atom_site_label
_atom_site_type_symbol
_atom_site_fract_x
_atom_site_fract_y
_atom_site_fract_z
Cs1 Cs 0.180 0.320 0.000
Zn1 Zn 0.128 0.628 0.500
Pb1 Pb 0.000 0.000 0.500
```

---

Record 15
Entry from Alexandria: Cs5ZnPb6 after structural relaxation (GGA-PBE).

## Properties
energy relative to the elements: -0.062 eV/atom

```
data_Cs5ZnPb6
_chemical_formula_sum 'Cs10 Zn2 Pb12'
_cell_length_a 8.685
_cell_length_b 14.221
_cell_length_c 10.592
_cell_angle_alpha 90.00
_cell_angle_beta 103.41
_cell_angle_gamma 90.00
_symmetry_space_group_name_H-M 'C 1 2/m 1'
_symmetry_Int_Tables_number 12
_symmetry_space_group_name_Hall '-C 2y'
loop_
_atom_site_label
_atom_site_type_symbol
_atom_site_fract_x
_atom_site_fract_y
_atom_site_fract_z
Cs1 Cs 0.000 0.000 0.000
Cs2 Cs 0.000 0.167 0.500
Cs3 Cs 0.000 0.313 0.000
Zn1 Zn 0.000 0.500 0.500
Pb1 Pb 0.139 0.500 0.289
Pb2 Pb 0.183 0.393 0.714
```

---

Record 16
Entry from Alexandria: Cs4ZnPb4 after structural relaxation (GGA-PBE).

## Properties
energy relative to the elements: 0.075 eV/atom

```
data_Cs4ZnPb4
_chemical_formula_sum 'Cs8 Zn2 Pb8'
_cell_length_a 7.780
_cell_length_b 7.780
_cell_length_c 16.516
_cell_angle_alpha 90.00
_cell_angle_beta 90.00
_cell_angle_gamma 90.00
_symmetry_space_group_name_H-M 'I -4 2 m'
_symmetry_Int_Tables_number 121
_symmetry_space_group_name_Hall 'I -4 2'
loop_
_atom_site_label
_atom_site_type_symbol
_atom_site_fract_x
_atom_site_fract_y
_atom_site_fract_z
Cs1 Cs 0.179 0.179 0.123
Zn1 Zn 0.000 0.000 0.500
Pb1 Pb 0.139 0.139 0.358
```

---

Record 17
Entry from Alexandria: CsZn3Pb after structural relaxation (GGA-PBE).

## Properties
energy relative to the elements: 0.988 eV/atom

```
data_CsZn3Pb
_chemical_formula_sum 'Cs1 Zn3 Pb1'
_cell_length_a 6.541
_cell_length_b 6.541
_cell_length_c 6.541
_cell_angle_alpha 90.00
_cell_angle_beta 90.00
_cell_angle_gamma 90.00
_symmetry_space_group_name_H-M 'P m -3 m'
_symmetry_Int_Tables_number 221
_symmetry_space_group_name_Hall '-P 4 2 3'
loop_
_atom_site_label
_atom_site_type_symbol
_atom_site_fract_x
_atom_site_fract_y
_atom_site_fract_z
Cs1 Cs 0.000 0.000 0.000
Zn1 Zn 0.000 0.000 0.500
Pb1 Pb 0.500 0.500 0.500
```

---

Record 18
Entry from Alexandria: CsZrPb3 after structural relaxation (GGA-PBE).

## Properties
energy relative to the elements: -0.017 eV/atom

```
data_CsZrPb3
_chemical_formula_sum 'Cs1 Zr1 Pb3'
_cell_length_a 5.789
_cell_length_b 5.789
_cell_length_c 5.789
_cell_angle_alpha 90.00
_cell_angle_beta 90.00
_cell_angle_gamma 90.00
_symmetry_space_group_name_H-M 'P m -3 m'
_symmetry_Int_Tables_number 221
_symmetry_space_group_name_Hall '-P 4 2 3'
loop_
_atom_site_label
_atom_site_type_symbol
_atom_site_fract_x
_atom_site_fract_y
_atom_site_fract_z
Cs1 Cs 0.000 0.000 0.000
Zr1 Zr 0.500 0.500 0.500
Pb1 Pb 0.000 0.500 0.500
```

---

Record 19
Entry from Alexandria: CsZrPb2 after structural relaxation (GGA-PBE).

## Properties
energy relative to the elements: -0.047 eV/atom

```
data_CsZrPb2
_chemical_formula_sum 'Cs1 Zr1 Pb2'
_cell_length_a 3.959
_cell_length_b 3.959
_cell_length_c 8.645
_cell_angle_alpha 90.00
_cell_angle_beta 90.00
_cell_angle_gamma 90.00
_symmetry_space_group_name_H-M 'P 4/m m m'
_symmetry_Int_Tables_number 123
_symmetry_space_group_name_Hall '-P 4 2'
loop_
_atom_site_label
_atom_site_type_symbol
_atom_site_fract_x
_atom_site_fract_y
_atom_site_fract_z
Cs1 Cs 0.000 0.000 0.000
Zr1 Zr 0.000 0.000 0.500
Pb1 Pb 0.500 0.500 0.324
```

---

Record 20
Entry from Alexandria: CsZrPb2 after structural relaxation (GGA-PBE).

## Properties
energy relative to the elements: 0.511 eV/atom

```
data_CsZrPb2
_chemical_formula_sum 'Cs4 Zr4 Pb8'
_cell_length_a 8.033
_cell_length_b 8.033
_cell_length_c 8.033
_cell_angle_alpha 90.00
_cell_angle_beta 90.00
_cell_angle_gamma 90.00
_symmetry_space_group_name_H-M 'F m -3 m'
_symmetry_Int_Tables_number 225
_symmetry_space_group_name_Hall '-F 4 2 3'
loop_
_atom_site_label
_atom_site_type_symbol
_atom_site_fract_x
_atom_site_fract_y
_atom_site_fract_z
Cs1 Cs 0.000 0.000 0.000
Zr1 Zr 0.000 0.000 0.500
Pb1 Pb 0.250 0.250 0.250
```

---

Results for N(E_F): 0.0000, 0.1297, 0.0000, 1.3791, 0.6541, 0.7520, 0.5211, 0.4327, 1.0671, 0.8748, 0.1644, 0.5990, 0.7134, 0.3474, 0.6347, 1.0905, 0.8893, 0.5944, 0.7451, 1.1727 (in states/eV per atom, following the order of the records).